# DyTmTh14, relaxed, DFT PBE-GGA
data_DyTmTh14
_chemical_formula_sum 'Dy2 Tm2 Th28'
_space_group_name_H-M_alt 'A m m 2'
_space_group_IT_number 38
_space_group_name_Hall 'A 2 -2'
_cell_length_a 11.5675
_cell_length_b 7.1671
_cell_length_c 12.4098
_cell_angle_alpha 90.00
_cell_angle_beta 90.00
_cell_angle_gamma 90.00
loop_
_atom_site_label
_atom_site_type_symbol
_atom_site_fract_x
_atom_site_fract_y
_atom_site_fract_z
Dy1 Dy 0.0000 0.0000 0.0000
Tm1 Tm 0.0000 0.0000 0.5004
Th1 Th 0.0000 0.2504 0.2538
Th2 Th 0.2495 0.2503 0.0848
Th3 Th 0.2501 0.0000 0.3351
Th4 Th 0.2509 0.0000 0.8349
Th5 Th 0.5000 0.0000 0.1674
Th6 Th 0.5000 0.0000 0.6673
Th7 Th 0.5000 0.2498 0.4179
# theoretical density = 11556 kg/m3
# calculated formation energy = 32 meV per atom